VASP calculation (GGA-PBE) on a relaxed structure of LiLa2Zn4.

Unit cell a=5.052 b=4.294 c=7.312 alpha=90.00 beta=90.96 gamma=90.00
Fractional coordinates of all 7 atoms:
Li (0.000, 0.000, 0.000)
La (0.239, 0.500, 0.335)
La (0.761, 0.500, 0.665)
Zn (0.254, 0.000, 0.660)
Zn (0.271, 0.500, 0.900)
Zn (0.729, 0.500, 0.100)
Zn (0.746, 0.000, 0.340)

Values from the calculation:
The value obtained for the formation energy is -0.195 eV per atom. As for the space group: No. 10. For the mass density, the calculation gives 5722 kg/m³.